# 1
Computed, not measured: Sr2Sn6Hg after structural relaxation at the PBE-GGA level of DFT.

Unit cell a=4.733 b=12.777 c=12.777 alpha=20.86 beta=90.00 gamma=90.00
Atoms (fractional coordinates):
Sr 0.000 0.000 0.000
Sr 0.000 0.343 0.343
Sn 0.000 0.601 0.601
Sn 0.000 0.717 0.717
Sn 0.500 0.099 0.099
Sn 0.500 0.215 0.215
Sn 0.500 0.471 0.471
Sn 0.500 0.899 0.899
Hg 0.500 0.789 0.789

=====

# 2
Computed, not measured: Sr2Sn3Hg6 after structural relaxation at the PBE-GGA level of DFT.

Unit cell a=8.790 b=8.790 c=4.313 alpha=90.00 beta=90.00 gamma=99.68
Atoms (fractional coordinates):
Sr 0.180 0.180 0.000
Sr 0.820 0.820 0.000
Sn 0.315 0.685 0.000
Sn 0.500 0.500 0.500
Sn 0.685 0.315 0.000
Hg 0.140 0.860 0.500
Hg 0.149 0.456 0.500
Hg 0.456 0.149 0.500
Hg 0.544 0.851 0.500
Hg 0.851 0.544 0.500
Hg 0.860 0.140 0.500

=====

# 3
Computed, not measured: Sr2Sn2Hg after structural relaxation at the PBE-GGA level of DFT.

Unit cell a=6.691 b=6.691 c=6.691 alpha=123.42 beta=123.42 gamma=84.16
Atoms (fractional coordinates):
Sr 0.250 0.750 0.500
Sr 0.750 0.250 0.500
Sn 0.140 0.140 0.000
Sn 0.860 0.860 0.000
Hg 0.500 0.500 0.000

Properties
Excess energy over the best structure of this formula in the dataset, meV/atom: 336.2

=====

Number 1: formation enthalpy at 0 K -285 meV per atom, total magnetization 0.0 μB/f.u., density 6567 kg/m³. Number 2: formation enthalpy at 0 K -209 meV per atom, total magnetization 0.0 μB/f.u., density 8771 kg/m³. Number 3: formation enthalpy at 0 K -253 meV per atom, total magnetization 0.0 μB/f.u., density 5100 kg/m³.